Here is crystalline Ca2MnReO6 at its relaxed geometry from Alexandria via LeMat-Bulk. Energies are from GGA+U.

a = 5.484 Å, b = 5.714 Å, c = 9.581 Å
α = 90.00°, β = 124.68°, γ = 90.00°
Space group P2_1/c (No. 14)
One atom of each set of equivalent atoms:
Ca (0.232, 0.059, 0.247) x4
Mn (0.000, 0.000, 0.500) x2
Re (0.500, 0.000, 0.000) x2
O (0.162, 0.187, 0.951) x4
O (0.261, 0.718, 0.941) x4
O (0.368, 0.038, 0.764) x4

Properties
- size of the total moment (μB/f.u.) = 6.00
- E (eV per cell) = -152.0